(1)
Tb2SmHoEr5 | PBE-GGA | optimized geometry

Output
M_tot: 0.00 μB per cell
ΔE_f: 2.6 eV per formula unit
theoretical density: 8.528 g/cm3
calculated volume: 572.2 Å³/cell

a = 9.6687 Å, b = 9.6687 Å, c = 9.6687 Å
α = 125.93°, β = 125.93°, γ = 80.01°
Closest atoms and distances in Å follow each position.
Fractional coordinates of all 18 atoms:
Tb 0.1141 0.6141 0.7281  1 Tb 2.84, 2 Er 2.99
Tb 0.3859 0.1141 0.5000  1 Tb 2.84, 2 Er 2.99
Tb 0.6141 0.8859 0.5000  1 Tb 2.84, 2 Er 2.99
Tb 0.8859 0.3859 0.2719  1 Tb 2.84, 2 Er 2.99
Sm 0.2500 0.2500 0.0000  10 Er 3.59-3.70
Sm 0.7500 0.7500 0.0000  10 Er 3.59-3.70
Ho 0.2500 0.7500 0.5000  4 Er 3.09
Ho 0.7500 0.2500 0.5000  4 Er 3.09
Er 0.0000 0.0000 0.0000  4 Tb 3.54, 2 Sm 3.70, 8 Er 3.73
Er 0.0723 0.1592 0.5000  1 Tb 2.99, 1 Ho 3.09
Er 0.1592 0.6592 0.0869  1 Tb 2.99, 1 Ho 3.09
Er 0.3408 0.4277 0.5000  1 Tb 2.99, 1 Ho 3.09
Er 0.4277 0.9277 0.0869  1 Tb 2.99, 1 Ho 3.09
Er 0.5000 0.5000 0.0000  4 Tb 3.54, 2 Sm 3.70, 8 Er 3.73
Er 0.5723 0.0723 0.9131  1 Tb 2.99, 1 Ho 3.09
Er 0.6592 0.5723 0.5000  1 Tb 2.99, 1 Ho 3.09
Er 0.8408 0.3408 0.9131  1 Tb 2.99, 1 Ho 3.09
Er 0.9277 0.8408 0.5000  1 Tb 2.99, 1 Ho 3.09

(2)
CsRbTl | PBE-GGA | optimized geometry

Output
M_tot: 0.00 μB per cell
distance to the lowest polymorph of the same formula: 3.8 meV/atom
ΔE_f: -0.2 eV per formula unit
theoretical density: 3.417 g/cm3
calculated volume: 410.9 Å³/cell

a = 10.1477 Å, b = 10.1477 Å, c = 7.7943 Å
α = 99.20°, β = 99.20°, γ = 31.28°
Closest atoms and distances in Å follow each position.
Fractional coordinates of all 6 atoms:
Cs 0.0828 0.0828 0.2893  3 Tl 3.95-4.04
Cs 0.9172 0.9172 0.7107  3 Tl 3.95-4.04
Rb 0.3312 0.3312 0.1593  4 Tl 3.89-4.33
Rb 0.6688 0.6688 0.8407  4 Tl 3.89-4.33
Tl 0.2639 0.2639 0.6015  2 Tl 3.16
Tl 0.7361 0.7361 0.3985  2 Tl 3.16

(3)
MgHgGe | PBE-GGA | optimized geometry

Output
M_tot: 0.00 μB per cell
ΔE_f: -0.2 eV per formula unit
theoretical density: 7.100 g/cm3
calculated volume: 139.2 Å³/cell

a = 10.8141 Å, b = 10.8141 Å, c = 10.8141 Å
α = 20.77°, β = 20.77°, γ = 20.77°
Closest atoms and distances in Å follow each position.
Fractional coordinates of all 6 atoms:
Mg 0.0913 0.0913 0.0913  4 Ge 2.88-2.99, 3 Hg 2.90
Mg 0.9087 0.9087 0.9087  4 Ge 2.88-2.99, 3 Hg 2.90
Hg 0.3667 0.3667 0.3667  3 Mg 2.90, 3 Hg 3.09
Hg 0.6333 0.6333 0.6333  3 Mg 2.90, 3 Hg 3.09
Ge 0.1855 0.1855 0.1855  3 Ge 2.55
Ge 0.8145 0.8145 0.8145  3 Ge 2.55

(4)
Li5Ag6Au | PBE-GGA | optimized geometry

Output
M_tot: 0.00 μB per cell
ΔE_f: -2.6 eV per formula unit
theoretical density: 7.453 g/cm3
calculated volume: 195.8 Å³/cell

a = 7.5586 Å, b = 7.5586 Å, c = 7.5586 Å
α = 147.39°, β = 121.47°, γ = 68.63°
Closest atoms and distances in Å follow each position.
Fractional coordinates of all 12 atoms:
Li 0.0000 0.0000 0.0000  8 Ag 2.68-2.73
Li 0.1771 0.6771 0.5000  8 Ag 2.74-2.75, 4 Li 3.04-3.06
Li 0.3511 0.3511 0.0000  8 Ag 2.78-2.90, 2 Au 2.82, 2 Li 3.04
Li 0.6489 0.6489 0.0000  8 Ag 2.78-2.90, 2 Au 2.82, 2 Li 3.04
Li 0.8229 0.3229 0.5000  8 Ag 2.74-2.75, 4 Li 3.04-3.06
Ag 0.0648 0.8306 0.2342  7 Li 2.73-2.90, 1 Au 2.89, 4 Ag 2.93-3.00
Ag 0.2207 0.5000 0.7207  6 Li 2.68-2.78, 2 Au 2.96
Ag 0.4036 0.1694 0.2342  7 Li 2.73-2.90, 1 Au 2.89, 4 Ag 2.93-3.00
Ag 0.5964 0.8306 0.7658  7 Li 2.73-2.90, 1 Au 2.89, 4 Ag 2.93-3.00
Ag 0.7793 0.5000 0.2793  6 Li 2.68-2.78, 2 Au 2.96
Ag 0.9352 0.1694 0.7658  7 Li 2.73-2.90, 1 Au 2.89, 4 Ag 2.93-3.00
Au 0.5000 0.0000 0.5000  4 Li 2.82, 8 Ag 2.89-2.96

(5)
MgSi2Os | PBE-GGA | optimized geometry

Output
E_form (uncorrected): -0.05 eV/atom
M_tot: 0.00 μB per cell
theoretical density: 7.428 g/cm3
calculated volume: 60.5 Å³/cell

a = 3.1184 Å, b = 3.1184 Å, c = 6.2237 Å
α = 90.00°, β = 90.00°, γ = 90.00°
Closest atoms and distances in Å follow each position.
Fractional coordinates of all 4 atoms:
Mg 0.0000 0.0000 0.0000  5 Si 2.86-2.99, 4 Os 2.91, 4 Mg 3.12
Si 0.0000 0.0000 0.4808  4 Os 2.46, 4 Si 2.62
Si 0.5000 0.5000 0.7082  1 Os 2.50, 4 Si 2.62
Os 0.5000 0.5000 0.3058  5 Si 2.46-2.50

(6)
Er2PaHg | PBE-GGA | optimized geometry

Output
M_tot: 0.00 μB per cell
distance to the lowest polymorph of the same formula: 316.8 meV/atom
ΔE_f: 0.7 eV per formula unit
theoretical density: 11.755 g/cm3
calculated volume: 108.2 Å³/cell

a = 11.6706 Å, b = 11.6706 Å, c = 11.6706 Å
α = 16.23°, β = 16.23°, γ = 16.23°
Closest atoms and distances in Å follow each position.
Fractional coordinates of all 4 atoms:
Er 0.0932 0.0932 0.0932  3 Hg 3.17, 1 Pa 3.22, 6 Er 3.29
Er 0.9068 0.9068 0.9068  3 Hg 3.17, 1 Pa 3.22, 6 Er 3.29
Pa 0.0000 0.0000 0.0000  2 Er 3.22, 6 Pa 3.29
Hg 0.5000 0.5000 0.5000  6 Er 3.17, 6 Hg 3.29

(7)
Sm8Ho4Zr | PBE-GGA | optimized geometry

Output
M_tot: 0.00 μB per cell
ΔE_f: 6.0 eV per formula unit
theoretical density: 7.314 g/cm3
calculated volume: 443.6 Å³/cell

a = 7.7192 Å, b = 7.7192 Å, c = 7.7192 Å
α = 98.38°, β = 98.38°, γ = 98.38°
Closest atoms and distances in Å follow each position.
Fractional coordinates of all 13 atoms:
Sm 0.1702 0.6725 0.6725  4 Ho 3.37-3.69, 3 Sm 3.39-3.50
Sm 0.2480 0.2480 0.2480  1 Zr 2.79, 1 Ho 2.84
Sm 0.3275 0.3275 0.8298  4 Ho 3.37-3.69, 3 Sm 3.39-3.50
Sm 0.3275 0.8298 0.3275  4 Ho 3.37-3.69, 3 Sm 3.39-3.50
Sm 0.6725 0.1702 0.6725  4 Ho 3.37-3.69, 3 Sm 3.39-3.50
Sm 0.6725 0.6725 0.1702  4 Ho 3.37-3.69, 3 Sm 3.39-3.50
Sm 0.7520 0.7520 0.7520  1 Zr 2.79, 1 Ho 2.84
Sm 0.8298 0.3275 0.3275  4 Ho 3.37-3.69, 3 Sm 3.39-3.50
Ho 0.0000 0.0000 0.5000  8 Sm 3.37-3.69
Ho 0.0000 0.5000 0.0000  8 Sm 3.37-3.69
Ho 0.5000 0.0000 0.0000  8 Sm 3.37-3.69
Ho 0.5000 0.5000 0.5000  2 Sm 2.84
Zr 0.0000 0.0000 0.0000  2 Sm 2.79

(8)
CeDy7In4 | PBE-GGA | optimized geometry

Output
M_tot: 0.81 μB per cell
ΔE_f: -1.1 eV per formula unit
theoretical density: 8.135 g/cm3
calculated volume: 354.5 Å³/cell

a = 7.8144 Å, b = 7.8144 Å, c = 10.3544 Å
α = 120.81°, β = 120.81°, γ = 42.13°
Closest atoms and distances in Å follow each position.
Fractional coordinates of all 12 atoms:
Ce 0.0000 0.0000 0.0000  2 Dy 2.81
Dy 0.0659 0.0659 0.4002  5 In 3.18-3.51, 3 Dy 3.42-3.51
Dy 0.2086 0.2086 0.8788  4 In 3.34-3.43, 6 Dy 3.42-3.71
Dy 0.2736 0.2736 0.3297  4 In 2.99-3.15
Dy 0.5000 0.5000 0.0000  2 Ce 2.81, 4 In 2.99-3.11
Dy 0.7264 0.7264 0.6703  4 In 2.99-3.15
Dy 0.7914 0.7914 0.1212  4 In 3.34-3.43, 6 Dy 3.42-3.71
Dy 0.9341 0.9341 0.5998  5 In 3.18-3.51, 3 Dy 3.42-3.51
In 0.3206 0.3206 0.6651  5 Dy 2.99-3.18, 1 In 3.08
In 0.4402 0.4402 0.2461  6 Dy 2.99-3.34, 1 In 3.08
In 0.5598 0.5598 0.7539  6 Dy 2.99-3.34, 1 In 3.08
In 0.6794 0.6794 0.3349  5 Dy 2.99-3.18, 1 In 3.08

(9)
VIrAu | PBE-GGA | optimized geometry

Output
M_tot: 0.00 μB per cell
distance to the lowest polymorph of the same formula: 0.0 meV/atom
ΔE_f: -0.5 eV per formula unit
theoretical density: 15.803 g/cm3
calculated volume: 46.2 Å³/cell

a = 6.0989 Å, b = 6.0989 Å, c = 6.0989 Å
α = 153.14°, β = 153.14°, γ = 38.36°
Closest atoms and distances in Å follow each position.
Fractional coordinates of all 3 atoms:
V 0.0000 0.0000 0.0000  4 Ir 2.54, 4 Au 2.83, 4 V 2.83
Ir 0.6360 0.6360 0.0000  4 V 2.54, 4 Ir 2.83
Au 0.3265 0.3265 0.0000  4 V 2.83, 4 Au 2.83, 4 Ir 2.97

(10)
NbPdPt | PBE-GGA | optimized geometry

Output
M_tot: 0.00 μB per cell
distance to the lowest polymorph of the same formula: 521.0 meV/atom
ΔE_f: -0.3 eV per formula unit
theoretical density: 12.548 g/cm3
calculated volume: 104.4 Å³/cell

a = 7.7493 Å, b = 7.7493 Å, c = 7.7493 Å
α = 159.40°, β = 140.28°, γ = 45.15°
Closest atoms and distances in Å follow each position.
Fractional coordinates of all 6 atoms:
Nb 0.2488 0.0000 0.2488  4 Nb 2.62-2.77, 2 Pt 2.67, 4 Pd 2.83
Nb 0.7512 0.0000 0.7512  4 Nb 2.62-2.77, 2 Pt 2.67, 4 Pd 2.83
Pd 0.3542 0.3542 0.0000  5 Pt 2.74-2.98, 2 Pd 2.77, 4 Nb 2.83
Pd 0.6458 0.6458 0.0000  5 Pt 2.74-2.98, 2 Pd 2.77, 4 Nb 2.83
Pt 0.1625 0.1625 0.0000  2 Nb 2.67, 5 Pd 2.74-2.98, 2 Pt 2.77
Pt 0.8375 0.8375 0.0000  2 Nb 2.67, 5 Pd 2.74-2.98, 2 Pt 2.77

(11)
Nd2HgAu | PBE-GGA | optimized geometry

Output
M_tot: 0.00 μB per cell
distance to the lowest polymorph of the same formula: 129.7 meV/atom
ΔE_f: -1.9 eV per formula unit
theoretical density: 9.375 g/cm3
calculated volume: 121.5 Å³/cell

a = 8.4344 Å, b = 8.4344 Å, c = 8.4344 Å
α = 28.60°, β = 28.60°, γ = 28.60°
Closest atoms and distances in Å follow each position.
Fractional coordinates of all 4 atoms:
Nd 0.0000 0.0000 0.0000  3 Au 3.02, 3 Hg 3.25
Nd 0.1809 0.1809 0.1809  3 Au 3.05, 3 Hg 3.26
Hg 0.7571 0.7571 0.7571  6 Nd 3.25-3.26
Au 0.5914 0.5914 0.5914  6 Nd 3.02-3.05

(12)
RbLiI2O | PBE-GGA | optimized geometry

Output
E_form (uncorrected): -0.71 eV/atom
M_tot: 1.57 μB per cell
distance to the lowest polymorph of the same formula: 0.0 meV/atom
theoretical density: 3.892 g/cm3
calculated volume: 154.5 Å³/cell

a = 6.3449 Å, b = 6.3449 Å, c = 3.8389 Å
α = 90.00°, β = 90.00°, γ = 90.00°
Closest atoms and distances in Å follow each position.
Fractional coordinates of all 5 atoms:
Rb 0.0000 0.0000 0.0000  8 I 3.71, 2 Rb 3.84
Li 0.5000 0.5000 0.5000  2 O 1.92
I 0.0000 0.5000 0.5000  2 Li 3.17
I 0.5000 0.0000 0.5000  2 Li 3.17
O 0.5000 0.5000 0.0000  2 Li 1.92